{
  "formula": "Tl12Hg5Au2",
  "functional": "GGA-PBE",
  "state": "relaxed",
  "lattice_angstrom": [[7.6848, 0.0000, 0.0000], [-3.8424, 9.4836, 0.3860], [0.0000, -2.8445, 7.7914]],
  "species": ["Tl", "Tl", "Tl", "Tl", "Tl", "Tl", "Tl", "Tl", "Tl", "Tl", "Tl", "Tl", "Hg", "Hg", "Hg", "Hg", "Hg", "Au", "Au"],
  "frac_coords": [[0.9402, 0.8804, 0.1180], [0.1049, 0.6814, 0.8048], [0.5765, 0.6814, 0.8048], [0.1269, 0.7135, 0.3283], [0.5866, 0.7135, 0.3283], [0.4748, 0.9495, 0.6734], [0.5252, 0.0505, 0.3266], [0.8731, 0.2865, 0.6717], [0.4134, 0.2865, 0.6717], [0.8951, 0.3186, 0.1952], [0.4235, 0.3186, 0.1952], [0.0598, 0.1196, 0.8820], [0.2343, 0.4686, 0.4969], [0.2494, 0.4989, 0.0050], [0.0000, 0.0000, 0.5000], [0.7506, 0.5011, 0.9950], [0.7657, 0.5314, 0.5031], [0.6869, 0.0000, 0.0000], [0.3131, 0.0000, 0.0000]],
  "sg": "C2/m, No. 12",
  "volume_a3_per_fu": 576.3,
  "formation_energy_mev_per_atom": 23,
  "magnetic_moment_mub_per_cell": 0.00,
  "dos_at_fermi_per_ev_cell": 8.05,
  "total_energy_ev_per_cell": -36.0
}